VASP calculation (GGA-PBE) on crystalline CeFe5B3 at its relaxed geometry.

a b c (Å): 5.891 5.891 10.874
angles (deg): 90.00 90.00 147.42
Fractional coordinates of all 18 atoms:
Ce1 0.162 0.838 0.750
Ce2 0.838 0.162 0.250
Fe1 0.000 0.000 0.000
Fe2 0.000 0.000 0.500
Fe3 0.197 0.803 0.062
Fe4 0.197 0.803 0.438
Fe5 0.448 0.552 0.644
Fe6 0.448 0.552 0.856
Fe7 0.552 0.448 0.144
Fe8 0.552 0.448 0.356
Fe9 0.803 0.197 0.562
Fe10 0.803 0.197 0.938
B1 0.119 0.881 0.250
B2 0.380 0.620 0.041
B3 0.380 0.620 0.459
B4 0.620 0.380 0.541
B5 0.620 0.380 0.959
B6 0.881 0.119 0.750

The energy relative to the elements is -0.229 eV per atom.